No. 1
K2LiIn | Alexandria via LeMat-Bulk | PBE-GGA | relaxed; SG = Pmmm (47); total magnetic moment = 0.000 μB/f.u.; electronic total energy = -0.0587 hartree per atom; formation energy = 0.114 eV per atom
1.0
5.3454 0.0000 0.0000
0.0000 5.3591 0.0000
0.0000 0.0000 5.4960
K Li In
2 1 1
Cartesian
0.0000 0.0000 0.0000
2.6727 2.6796 0.0000
0.0000 2.6796 2.7480
2.6727 0.0000 2.7480

=====

No. 2
KLiIn | Alexandria via LeMat-Bulk | PBE-GGA | relaxed; SG = F-43m (216); energy above the lowest structure with this stoichiometry = 1.62 eV/f.u.; total magnetic moment = 0.000 μB/f.u.; electronic total energy = -0.0557 hartree per atom; formation energy = 0.402 eV per atom
1.0
0.0000 3.9730 3.9730
3.9730 0.0000 3.9730
3.9730 3.9730 0.0000
K Li In
1 1 1
Cartesian
0.0000 0.0000 0.0000
1.9865 1.9865 1.9865
5.9595 5.9595 5.9595

=====

No. 3
KLiIn | Alexandria via LeMat-Bulk | PBE-GGA | relaxed; SG = P1 (1); energy above the lowest structure with this stoichiometry = 0.01 eV/f.u.; total magnetic moment = 0.000 μB/f.u.; electronic total energy = -0.0753 hartree per atom; formation energy = -0.133 eV per atom
1.0
4.9950 0.0000 0.0000
-0.0023 5.9608 0.0000
-2.4907 -1.2256 6.3666
K Li In
2 2 2
Cartesian
0.0000 0.0000 0.0000
0.0049 1.7563 6.3521
-0.0014 0.1339 3.3049
2.4941 4.5622 3.0532
-0.0028 3.1545 2.9450
2.4961 1.5431 3.3871

=====

No. 4
KLiIn | Alexandria via LeMat-Bulk | PBE-GGA | relaxed; SG = Cm (8); energy above the lowest structure with this stoichiometry = 0.07 eV/f.u.; total magnetic moment = 0.000 μB/f.u.; electronic total energy = -0.0746 hartree per atom; formation energy = -0.115 eV per atom
1.0
4.1454 -2.4038 0.0000
4.1454 2.4038 0.0000
-2.8415 0.0000 11.4613
K Li In
2 2 2
Cartesian
0.0000 0.0000 0.0000
-0.0451 0.0000 7.5791
2.7166 0.0000 4.0923
5.4828 0.0000 2.5235
-0.0504 0.0000 3.7606
5.4782 0.0000 5.2819

=====

No. 5
KLiIn | Alexandria via LeMat-Bulk | PBE-GGA | relaxed; SG = Cmcm (63); energy above the lowest structure with this stoichiometry = 0.06 eV/f.u.; total magnetic moment = 0.000 μB/f.u.; electronic total energy = -0.0748 hartree per atom; formation energy = -0.119 eV per atom
1.0
2.4628 -6.3316 0.0000
2.4628 6.3316 0.0000
0.0000 0.0000 6.1497
K Li In
2 2 2
Cartesian
2.4628 3.5322 4.6123
2.4628 -3.5322 1.5374
2.4628 5.9016 1.5374
2.4628 -5.9016 4.6123
2.4628 0.0000 0.0000
2.4628 0.0000 3.0749

=====

No. 6
K2LiIn | Alexandria via LeMat-Bulk | PBE-GGA | relaxed; SG = Cm (8); total magnetic moment = 0.000 μB/f.u.; electronic total energy = -0.0618 hartree per atom; formation energy = 0.029 eV per atom
1.0
7.1866 -1.8715 0.0000
7.1866 1.8715 0.0000
-2.8798 0.0000 5.7639
K Li In
2 1 1
Cartesian
0.0000 0.0000 0.0000
0.8717 0.0000 4.0331
4.9029 0.0000 2.4592
10.1528 0.0000 1.4812

=====

No. 7
KLiIn6 | Alexandria via LeMat-Bulk | PBE-GGA | relaxed; SG = Pmm2 (25); total magnetic moment = 0.000 μB/f.u.; electronic total energy = -0.0919 hartree per atom; formation energy = -0.070 eV per atom
1.0
5.0408 0.0000 0.0000
0.0000 7.7567 0.0000
0.0000 0.0000 5.6552
K Li In
1 1 6
Cartesian
0.0000 0.0000 0.0000
2.5204 3.8783 1.8451
0.0000 2.1794 2.8105
0.0000 3.8783 0.1191
0.0000 5.5773 2.8105
2.5204 0.0000 2.5498
2.5204 2.2516 4.8038
2.5204 5.5051 4.8038

=====

No. 8
KLiIn2 | Alexandria via LeMat-Bulk | PBE-GGA | relaxed; SG = Imm2 (44); energy above the lowest structure with this stoichiometry = 0.61 eV/f.u.; total magnetic moment = 0.000 μB/f.u.; electronic total energy = -0.0787 hartree per atom; formation energy = -0.019 eV per atom
1.0
-1.7217 3.0227 5.7973
1.7217 -3.0227 5.7973
1.7217 3.0227 -5.7973
K Li In
1 1 2
Cartesian
0.0000 0.0000 0.0000
1.7217 0.0000 3.4146
0.0000 0.0000 5.8030
0.0000 3.0227 2.6081

=====

No. 9
KLiIn2 | Alexandria via LeMat-Bulk | PBE-GGA | relaxed; SG = R-3m (166); energy above the lowest structure with this stoichiometry = 0.72 eV/f.u.; total magnetic moment = 0.000 μB/f.u.; electronic total energy = -0.0776 hartree per atom; formation energy = 0.010 eV per atom
1.0
1.7683 1.0209 10.5475
-1.7683 1.0209 10.5475
0.0000 -2.0419 10.5475
K Li In
1 1 2
Cartesian
0.0000 0.0000 0.0000
0.0000 0.0000 15.8213
0.0000 0.0000 7.4928
0.0000 0.0000 24.1498

=====

No. 10
K2LiIn | Alexandria via LeMat-Bulk | PBE-GGA | relaxed; SG = I-42d (122); total magnetic moment = 0.000 μB/f.u.; electronic total energy = -0.0569 hartree per atom; formation energy = 0.164 eV per atom
1.0
-4.8633 4.8633 3.2901
4.8633 -4.8633 3.2901
4.8633 4.8633 -3.2901
K Li In
4 2 2
Cartesian
7.2950 2.2813 -0.8225
2.2813 2.4317 0.8225
-2.4317 2.5820 2.4676
2.5820 2.4317 4.1127
0.0000 0.0000 0.0000
0.0000 4.8633 1.6451
4.8633 0.0000 1.6451
0.0000 0.0000 3.2901

=====

No. 11
KLiIn2 | Alexandria via LeMat-Bulk | PBE-GGA | relaxed; SG = P4/mmm (123); energy above the lowest structure with this stoichiometry = 0.77 eV/f.u.; total magnetic moment = 0.000 μB/f.u.; electronic total energy = -0.0772 hartree per atom; formation energy = 0.021 eV per atom
1.0
4.6680 0.0000 0.0000
0.0000 4.6680 0.0000
0.0000 0.0000 5.3719
K Li In
1 1 2
Cartesian
0.0000 0.0000 0.0000
2.3340 2.3340 0.0000
0.0000 2.3340 2.6860
2.3340 0.0000 2.6860

=====

No. 12
KLiIn2 | Alexandria via LeMat-Bulk | PBE-GGA | relaxed; SG = I4/mmm (139); energy above the lowest structure with this stoichiometry = 0.77 eV/f.u.; total magnetic moment = 0.000 μB/f.u.; electronic total energy = -0.0772 hartree per atom; formation energy = 0.021 eV per atom
1.0
-2.4333 2.4333 4.8953
2.4333 -2.4333 4.8953
2.4333 2.4333 -4.8953
K Li In
1 1 2
Cartesian
0.0000 0.0000 0.0000
0.0000 0.0000 4.8953
2.4333 0.0000 2.4476
0.0000 2.4333 2.4476

=====

No. 13
K4LiIn4 | Alexandria via LeMat-Bulk | PBE-GGA | relaxed; SG = I-42m (121); total magnetic moment = 0.000 μB/f.u.; electronic total energy = -0.0686 hartree per atom; formation energy = 0.050 eV per atom
1.0
-2.8136 2.8136 11.7397
2.8136 -2.8136 11.7397
2.8136 2.8136 -11.7397
K Li In
4 1 4
Cartesian
1.5536 1.5536 -2.6970
1.2600 -1.2600 14.4366
1.2600 1.2600 9.0427
-1.2600 1.2600 14.4366
0.0000 0.0000 0.0000
1.6562 1.6562 -6.6509
1.1574 1.1574 5.0888
1.1574 -1.1574 18.3905
-1.1574 1.1574 18.3905

=====

No. 14
KLiIn2 | Alexandria via LeMat-Bulk | PBE-GGA | relaxed; SG = I-42d (122); energy above the lowest structure with this stoichiometry = 0.88 eV/f.u.; total magnetic moment = 0.000 μB/f.u.; electronic total energy = -0.0761 hartree per atom; formation energy = 0.050 eV per atom
1.0
-2.6519 2.6519 10.4604
2.6519 -2.6519 10.4604
2.6519 2.6519 -10.4604
K Li In
2 2 4
Cartesian
0.0000 0.0000 0.0000
0.0000 2.6519 5.2302
2.6519 0.0000 5.2302
0.0000 0.0000 10.4604
1.3259 -0.5125 7.8453
2.1394 1.3259 2.6151
1.3259 3.1644 -2.6151
0.5125 1.3259 13.0755

=====

No. 15
K2LiIn | Alexandria via LeMat-Bulk | PBE-GGA | relaxed; SG = C2/m (12); total magnetic moment = 0.000 μB/f.u.; electronic total energy = -0.0586 hartree per atom; formation energy = 0.117 eV per atom
1.0
3.7249 -4.9544 0.0000
3.7249 4.9544 0.0000
-0.0146 0.0000 4.3300
K Li In
2 1 1
Cartesian
1.8624 2.4772 0.0000
1.8624 -2.4772 0.0000
-0.0073 0.0000 2.1650
3.7176 0.0000 2.1650

=====

No. 16
K2LiIn | Alexandria via LeMat-Bulk | PBE-GGA | relaxed; SG = P4mm (99); total magnetic moment = 0.000 μB/f.u.; electronic total energy = -0.0639 hartree per atom; formation energy = -0.026 eV per atom
1.0
3.9707 0.0000 0.0000
0.0000 3.9707 0.0000
0.0000 0.0000 10.2241
K Li In
2 1 1
Cartesian
0.0000 0.0000 0.0000
1.9853 1.9853 3.9791
0.0000 0.0000 6.6909
1.9853 1.9853 7.7020

=====

No. 17
KLi2In4 | Alexandria via LeMat-Bulk | PBE-GGA | relaxed; SG = C2/m (12); total magnetic moment = 0.000 μB/f.u.; electronic total energy = -0.0901 hartree per atom; formation energy = -0.184 eV per atom
1.0
4.8777 -3.8727 0.0000
4.8777 3.8727 0.0000
-3.4644 0.0000 4.6899
K Li In
1 2 4
Cartesian
0.0000 0.0000 0.0000
4.0084 0.0000 1.1690
2.2826 0.0000 3.5208
1.9366 2.3644 1.4469
4.3543 2.3644 3.2430
1.9366 -2.3644 1.4469
4.3543 -2.3644 3.2430

=====

No. 18
KLiIn2 | Alexandria via LeMat-Bulk | PBE-GGA | relaxed; SG = P4mm (99); energy above the lowest structure with this stoichiometry = 0.32 eV/f.u.; total magnetic moment = 0.000 μB/f.u.; electronic total energy = -0.0813 hartree per atom; formation energy = -0.091 eV per atom
1.0
3.7475 0.0000 0.0000
0.0000 3.7475 0.0000
0.0000 0.0000 8.5055
K Li In
1 1 2
Cartesian
0.0000 0.0000 0.0000
1.8738 1.8738 2.8738
0.0000 0.0000 4.0775
1.8738 1.8738 5.9711

=====

No. 19
KLiMgIn | Alexandria via LeMat-Bulk | PBE-GGA | relaxed; SG = F-43m (216); total magnetic moment = 0.000 μB/f.u.; electronic total energy = -0.0668 hartree per atom; formation energy = 0.018 eV per atom
1.0
0.0000 3.7913 3.7913
3.7913 0.0000 3.7913
3.7913 3.7913 0.0000
K Li Mg In
1 1 1 1
Cartesian
0.0000 0.0000 0.0000
1.8956 1.8956 1.8956
5.6869 5.6869 5.6869
3.7913 3.7913 3.7913

=====

No. 20
K2LiMg3In12 | Alexandria via LeMat-Bulk | PBE-GGA | relaxed; SG = R-3m (166); total magnetic moment = 0.000 μB/f.u.; electronic total energy = -0.0849 hartree per atom; formation energy = 0.010 eV per atom
1.0
3.7968 2.1921 10.9807
-3.7968 2.1921 10.9807
0.0000 -4.3841 10.9807
K Li Mg In
2 1 3 12
Cartesian
0.0000 0.0000 4.9751
0.0000 0.0000 27.9669
0.0000 0.0000 16.4710
-1.8984 -1.0960 10.9807
-1.8984 1.0960 21.9613
0.0000 2.1921 10.9807
0.0000 -2.6311 9.3158
-2.2786 1.3156 9.3158
-1.5969 -0.9220 14.2165
-2.2786 -1.3156 23.6262
0.0000 -1.8439 18.7255
-1.5969 0.9220 18.7255
1.5969 -0.9220 14.2165
0.0000 1.8439 14.2165
2.2786 1.3156 9.3158
1.5969 0.9220 18.7256
2.2786 -1.3156 23.6262
0.0000 2.6311 23.6262

=====

No. 21
K2Li2MgIn5 | Alexandria via LeMat-Bulk | PBE-GGA | relaxed; SG = P4/mbm (127); total magnetic moment = 0.000 μB/f.u.; electronic total energy = -0.0821 hartree per atom; formation energy = -0.102 eV per atom
1.0
11.9285 0.0000 0.0000
0.0000 11.9285 0.0000
0.0000 0.0000 3.7721
K Li Mg In
4 4 2 10
Cartesian
2.1739 3.7903 0.0000
3.7903 9.7546 0.0000
8.1382 2.1739 0.0000
9.7546 8.1382 0.0000
1.5035 7.4677 0.0000
4.4608 1.5035 0.0000
7.4677 10.4250 0.0000
10.4250 4.4608 0.0000
0.0000 0.0000 0.0000
5.9643 5.9643 0.0000
0.0000 5.9643 1.8860
0.5838 9.6355 1.8860
2.2930 0.5838 1.8860
3.6712 6.5481 1.8860
5.3804 3.6712 1.8860
5.9643 0.0000 1.8860
6.5481 8.2573 1.8860
8.2573 5.3804 1.8860
9.6355 11.3447 1.8860
11.3447 2.2930 1.8860